ScOsSe2 after structural relaxation, computed with PBE.

Computed properties:
- Energy above the lowest structure with this stoichiometry: 541.3 meV/atom
- V: 79.38 Å³/cell

a = 8.6070 Å, b = 8.6070 Å, c = 8.6070 Å
α = 22.14°, β = 22.14°, γ = 22.14°
With the nearest neighbours (Å) after each atom.
Sites, in units of the cell vectors:
Sc  0.0000  0.0000  0.0000  6 Se 2.64
Os  0.5000  0.5000  0.5000  2 Se 2.38
Se  0.4057  0.4057  0.4057  1 Os 2.38, 3 Sc 2.64
Se  0.5943  0.5943  0.5943  1 Os 2.38, 3 Sc 2.64